1.
VASP calculation (PBE) on crystalline LaCr2Re at its relaxed geometry. Values from VASP.

Cell and atoms, written as Quantum ESPRESSO input:
```
&SYSTEM
  ibrav = 0, nat = 4, ntyp = 3
/
ATOMIC_SPECIES
Cr 52.00 Cr.upf
Re 186.21 Re.upf
La 138.91 La.upf
CELL_PARAMETERS angstrom
-1.928 -1.453 1.866
1.591 -2.574 -0.361
6.006 -0.686 5.673
ATOMIC_POSITIONS crystal
Cr 0.000 0.009 0.991
Cr 0.500 0.319 0.181
Re 0.500 0.684 0.816
La 0.000 0.488 0.513
```

Relative energy among the computed polymorphs, meV/atom: 31
ΔH_f (0 K), meV per atom: 395

***

2.
VASP calculation (PBE) on crystalline LiPuTaO6 at its relaxed geometry. Values from VASP.

Cell and atoms, written as Quantum ESPRESSO input:
```
&SYSTEM
  ibrav = 0, nat = 18, ntyp = 4
/
ATOMIC_SPECIES
Ta 180.95 Ta.upf
O 16.00 O.upf
Li 6.94 Li.upf
Pu 244.00 Pu.upf
CELL_PARAMETERS angstrom
5.480 0.000 0.000
-2.740 4.746 0.000
0.000 0.000 9.442
ATOMIC_POSITIONS crystal
Ta 0.667 0.333 0.250
O 0.641 0.632 0.139
O 0.632 0.991 0.861
O 0.368 0.009 0.139
O 0.991 0.632 0.361
Li 0.000 0.000 0.000
O 0.641 0.009 0.361
O 0.368 0.359 0.361
O 0.009 0.641 0.861
O 0.632 0.641 0.639
Ta 0.333 0.667 0.750
Pu 0.667 0.333 0.750
O 0.009 0.368 0.639
O 0.359 0.991 0.639
O 0.359 0.368 0.861
Li 0.000 0.000 0.500
Pu 0.333 0.667 0.250
O 0.991 0.359 0.139
```

Uncorrected formation energy, eV per atom: -2.4753

***

3.
VASP calculation (PBE) on crystalline Ba3Re at its relaxed geometry. Values from VASP.

Cell and atoms, written as Quantum ESPRESSO input:
```
&SYSTEM
  ibrav = 0, nat = 4, ntyp = 2
/
ATOMIC_SPECIES
Ba 137.33 Ba.upf
Re 186.21 Re.upf
CELL_PARAMETERS angstrom
6.077 0.083 0.000
1.024 5.991 0.000
-3.551 -3.037 3.887
ATOMIC_POSITIONS crystal
Ba 0.750 0.250 0.500
Ba 0.500 0.500 0.000
Ba 0.250 0.750 0.500
Re 0.000 0.000 0.000
```

Relative energy among the computed polymorphs, meV/atom: 632
ΔH_f (0 K), meV per atom: 1044

***

4.
VASP calculation (PBE) on crystalline TlCuAsS2 at its relaxed geometry. Values from VASP.

Cell and atoms, written as Quantum ESPRESSO input:
```
&SYSTEM
  ibrav = 0, nat = 5, ntyp = 4
/
ATOMIC_SPECIES
S 32.06 S.upf
Tl 204.38 Tl.upf
Cu 63.55 Cu.upf
As 74.92 As.upf
CELL_PARAMETERS angstrom
5.051 0.000 0.000
0.000 4.516 0.000
0.000 0.000 5.051
ATOMIC_POSITIONS crystal
S 0.500 0.000 0.000
Tl 0.500 0.500 0.500
S 0.000 0.000 0.500
Cu 0.000 0.500 0.000
As 0.000 0.000 0.000
```

Uncorrected formation energy, eV per atom: 0.2070
Relative energy among the computed polymorphs, meV/atom: 239

***

5.
VASP calculation (PBE) on crystalline LaZr2Cu at its relaxed geometry. Values from VASP.

Cell and atoms, written as Quantum ESPRESSO input:
```
&SYSTEM
  ibrav = 0, nat = 4, ntyp = 3
/
ATOMIC_SPECIES
Zr 91.22 Zr.upf
La 138.91 La.upf
Cu 63.55 Cu.upf
CELL_PARAMETERS angstrom
-2.804 -4.086 3.493
-2.101 -5.647 0.678
3.035 -3.914 2.929
ATOMIC_POSITIONS crystal
Zr 0.209 0.209 0.374
La 0.789 0.789 0.776
Zr 0.984 0.984 0.998
Cu 0.518 0.518 0.351
```

Relative energy among the computed polymorphs, meV/atom: 152
ΔH_f (0 K), meV per atom: 125

***

6.
VASP calculation (PBE) on crystalline CsInP2Se8 at its relaxed geometry. Values from VASP.

Cell and atoms, written as Quantum ESPRESSO input:
```
&SYSTEM
  ibrav = 0, nat = 12, ntyp = 4
/
ATOMIC_SPECIES
P 30.97 P.upf
Se 78.96 Se.upf
In 114.82 In.upf
Cs 132.91 Cs.upf
CELL_PARAMETERS angstrom
-3.244 -3.153 4.039
2.467 -4.777 2.804
3.669 4.519 11.027
ATOMIC_POSITIONS crystal
P 0.261 0.261 0.217
Se 0.329 0.905 0.151
Se 0.905 0.615 0.151
Se 0.385 0.671 0.849
In 0.000 0.000 0.000
Se 0.615 0.329 0.151
Se 0.799 0.799 0.604
Se 0.671 0.095 0.849
Se 0.095 0.385 0.849
Se 0.201 0.201 0.396
Cs 0.500 0.500 0.500
P 0.739 0.739 0.783
```

Uncorrected formation energy, eV per atom: -0.2174

***

7.
VASP calculation (PBE) on crystalline Ac2As3Pt4Rh at its relaxed geometry. Values from VASP.

Cell and atoms, written as Quantum ESPRESSO input:
```
&SYSTEM
  ibrav = 0, nat = 10, ntyp = 4
/
ATOMIC_SPECIES
Ac 227.00 Ac.upf
As 74.92 As.upf
Pt 195.08 Pt.upf
Rh 102.91 Rh.upf
CELL_PARAMETERS angstrom
-2.955 -0.743 3.277
2.483 -3.423 1.463
5.247 6.453 6.195
ATOMIC_POSITIONS crystal
Ac 0.000 0.500 0.746
As 0.000 0.000 0.500
As 0.500 0.000 0.874
Ac 0.500 0.000 0.254
As 0.000 0.500 0.126
Pt 0.000 0.500 0.365
Pt 0.500 0.500 0.000
Rh 0.500 0.500 0.500
Pt 0.500 0.000 0.635
Pt 0.000 0.000 0.000
```

ΔH_f (0 K), meV per atom: -780

***

8.
VASP calculation (PBE) on crystalline RuIO2 at its relaxed geometry. Values from VASP.

Cell and atoms, written as Quantum ESPRESSO input:
```
&SYSTEM
  ibrav = 0, nat = 4, ntyp = 3
/
ATOMIC_SPECIES
Ru 101.07 Ru.upf
I 126.90 I.upf
O 16.00 O.upf
CELL_PARAMETERS angstrom
9.983 0.034 0.020
9.464 3.177 0.020
9.464 1.563 2.766
ATOMIC_POSITIONS crystal
Ru 0.500 0.500 0.500
I 0.000 0.000 0.000
O 0.137 0.137 0.137
O 0.863 0.863 0.863
```

Uncorrected formation energy, eV per atom: -0.4113
Relative energy among the computed polymorphs, meV/atom: 0

***

9.
VASP calculation (PBE) on crystalline In3Si5I12 at its relaxed geometry. Values from VASP.

Cell and atoms, written as Quantum ESPRESSO input:
```
&SYSTEM
  ibrav = 0, nat = 80, ntyp = 3
/
ATOMIC_SPECIES
Si 28.09 Si.upf
I 126.90 I.upf
In 114.82 In.upf
CELL_PARAMETERS angstrom
-3.633 -15.782 2.500
13.846 1.107 -8.695
1.999 7.497 14.433
ATOMIC_POSITIONS crystal
Si 0.125 0.750 0.375
I 0.416 0.303 0.323
Si 0.375 0.250 0.125
I 0.020 0.407 0.823
Si 0.625 0.875 0.250
I 0.407 0.387 0.584
I 0.520 0.323 0.907
Si 0.000 0.000 0.000
I 0.697 0.584 0.177
Si 0.500 0.000 0.500
Si 0.875 0.250 0.625
In 0.875 0.125 0.250
I 0.677 0.480 0.593
I 0.303 0.887 0.980
I 0.916 0.823 0.803
Si 0.625 0.750 0.875
I 0.803 0.323 0.916
I 0.916 0.093 0.613
In 0.750 0.375 0.125
Si 0.000 0.000 0.500
I 0.480 0.803 0.887
Si 0.250 0.375 0.625
Si 0.375 0.125 0.750
I 0.084 0.907 0.387
Si 0.125 0.375 0.250
I 0.177 0.093 0.980
I 0.416 0.113 0.593
I 0.697 0.113 0.020
I 0.887 0.584 0.907
In 0.125 0.875 0.750
Si 0.000 0.500 0.500
I 0.323 0.803 0.416
I 0.613 0.593 0.916
I 0.197 0.520 0.613
I 0.093 0.916 0.113
In 0.625 0.375 0.750
I 0.677 0.197 0.584
In 0.250 0.125 0.375
In 0.750 0.875 0.625
I 0.907 0.823 0.520
In 0.625 0.250 0.375
Si 0.500 0.500 0.500
In 0.375 0.625 0.250
Si 0.000 0.500 0.000
In 0.250 0.625 0.875
I 0.197 0.677 0.084
I 0.177 0.084 0.697
Si 0.750 0.625 0.375
I 0.387 0.980 0.803
I 0.593 0.980 0.677
I 0.823 0.907 0.020
Si 0.750 0.125 0.875
I 0.980 0.387 0.303
I 0.980 0.593 0.177
I 0.093 0.177 0.480
I 0.584 0.697 0.677
In 0.875 0.750 0.125
I 0.520 0.197 0.113
I 0.584 0.887 0.407
I 0.907 0.084 0.887
I 0.823 0.916 0.303
Si 0.250 0.875 0.125
I 0.887 0.303 0.480
I 0.020 0.613 0.697
I 0.613 0.020 0.197
I 0.593 0.613 0.416
In 0.125 0.250 0.875
I 0.113 0.697 0.520
I 0.303 0.416 0.823
I 0.084 0.177 0.197
I 0.323 0.520 0.407
In 0.375 0.750 0.625
I 0.113 0.416 0.093
I 0.387 0.407 0.084
I 0.803 0.480 0.387
Si 0.875 0.625 0.750
I 0.480 0.677 0.093
Si 0.500 0.000 0.000
I 0.407 0.020 0.323
Si 0.500 0.500 0.000
```

Uncorrected formation energy, eV per atom: -0.0055

***

10.
VASP calculation (PBE) on crystalline NaSrPb4 at its relaxed geometry. Values from VASP.

Cell and atoms, written as Quantum ESPRESSO input:
```
&SYSTEM
  ibrav = 0, nat = 6, ntyp = 3
/
ATOMIC_SPECIES
Pb 207.20 Pb.upf
Sr 87.62 Sr.upf
Na 22.99 Na.upf
CELL_PARAMETERS angstrom
-4.202 -1.367 4.942
-3.033 -5.889 0.238
1.681 -4.409 4.656
ATOMIC_POSITIONS crystal
Pb 0.124 0.625 0.625
Pb 0.625 0.625 0.625
Pb 0.625 0.124 0.625
Pb 0.625 0.625 0.124
Sr 0.000 0.000 0.000
Na 0.250 0.250 0.250
```

Relative energy among the computed polymorphs, meV/atom: 0
ΔH_f (0 K), meV per atom: -218

***

11.
VASP calculation (PBE) on crystalline K2Si2Sn at its relaxed geometry. Values from VASP.

Cell and atoms, written as Quantum ESPRESSO input:
```
&SYSTEM
  ibrav = 0, nat = 10, ntyp = 3
/
ATOMIC_SPECIES
Si 28.09 Si.upf
K 39.10 K.upf
Sn 118.71 Sn.upf
CELL_PARAMETERS angstrom
7.145 0.000 0.000
0.000 7.145 0.000
0.000 0.000 5.584
ATOMIC_POSITIONS crystal
Si 0.115 0.385 0.000
Si 0.615 0.115 0.000
Si 0.385 0.885 0.000
K 0.814 0.314 0.500
K 0.686 0.814 0.500
K 0.186 0.686 0.500
Sn 0.000 0.000 0.000
Si 0.885 0.615 0.000
Sn 0.500 0.500 0.000
K 0.314 0.186 0.500
```

Uncorrected formation energy, eV per atom: 0.0888